# LiMn2P2HO8 (GGA+U, optimized geometry)
# V   340 Å³/cell
# E   -0.5214 Ry/atom
# Crystal system   monoclinic
data_LiMn2P2HO8
_chemical_formula_sum 'Li2 Mn4 P4 H2 O16'
_space_group_name_H-M_alt 'P 1 21 1'
_space_group_IT_number 4
_cell_length_a 4.997
_cell_length_b 9.032
_cell_length_c 7.797
_cell_angle_alpha 90.00
_cell_angle_beta 105.01
_cell_angle_gamma 90.00
loop_
_space_group_symop_operation_xyz
'x,y,z'
'-x,y+1/2,-z'
loop_
_atom_site_label
_atom_site_type_symbol
_atom_site_fract_x
_atom_site_fract_y
_atom_site_fract_z
_atom_site_occupancy
Li1 Li 0.237 0.000 0.300 1
Mn1 Mn 0.133 0.696 0.049 1
Mn2 Mn 0.346 0.363 0.378 1
P1 P 0.111 0.669 0.471 1
P2 P 0.372 0.417 0.013 1
H1 H 0.246 0.082 0.768 1
O1 O 0.041 0.128 0.735 1
O2 O 0.112 0.181 0.428 1
O3 O 0.130 0.503 0.892 1
O4 O 0.257 0.818 0.459 1
O5 O 0.259 0.280 0.098 1
O6 O 0.319 0.544 0.540 1
O7 O 0.404 0.873 0.079 1
O8 O 0.489 0.521 0.180 1